# Tb8Th6Sc, optimized geometry, DFT PBE-GGA
# * ΔE_f: 0.1429 eV/atom
# * magnetization: 0.00 μB/cell
data_Tb8Th6Sc
_chemical_formula_sum 'Tb24 Th18 Sc3'
_space_group_name_H-M_alt 'R -3'
_space_group_IT_number 148
_space_group_name_Hall '-R 3'
_cell_length_a 8.8355
_cell_length_b 8.8355
_cell_length_c 21.1512
_cell_angle_alpha 90.00
_cell_angle_beta 90.00
_cell_angle_gamma 120.00
loop_
_atom_site_label
_atom_site_type_symbol
_atom_site_fract_x
_atom_site_fract_y
_atom_site_fract_z
_atom_site_occupancy
Tb1 Tb 0.0000 0.0000 0.0812 1
Tb2 Tb 0.0635 0.2528 0.6333 1
Th1 Th 0.0335 0.7849 0.2089 1
Sc1 Sc 0.0000 0.0000 0.5000 1

=====

# Tb7ThSc4, optimized geometry, DFT PBE-GGA
# * ΔE_f: 0.2704 eV/atom
# * magnetization: 0.00 μB/cell
data_Tb7ThSc4
_chemical_formula_sum 'Tb14 Th2 Sc8'
_space_group_name_H-M_alt 'C 1 2/m 1'
_space_group_IT_number 12
_space_group_name_Hall '-C 2y'
_cell_length_a 15.3543
_cell_length_b 5.8182
_cell_length_c 9.3462
_cell_angle_alpha 90.00
_cell_angle_beta 119.71
_cell_angle_gamma 90.00
loop_
_atom_site_label
_atom_site_type_symbol
_atom_site_fract_x
_atom_site_fract_y
_atom_site_fract_z
_atom_site_occupancy
Tb1 Tb 0.0000 0.0000 0.0000 1
Tb2 Tb 0.0893 0.5000 0.4478 1
Tb3 Tb 0.2092 0.5000 0.8833 1
Tb4 Tb 0.2392 0.5000 0.2753 1
Th1 Th 0.0000 0.5000 0.0000 1
Sc1 Sc 0.0560 0.0000 0.6985 1
Sc2 Sc 0.1655 0.0000 0.3508 1

=====

# TbTh4Sc4, optimized geometry, DFT PBE-GGA
# * ΔE_f: 0.0520 eV/atom
# * magnetization: 0.00 μB/cell
data_TbTh4Sc4
_chemical_formula_sum 'Tb2 Th8 Sc8'
_space_group_name_H-M_alt 'I 4/m m m'
_space_group_IT_number 139
_space_group_name_Hall '-I 4 2'
_cell_length_a 10.3611
_cell_length_b 10.3611
_cell_length_c 4.8336
_cell_angle_alpha 90.00
_cell_angle_beta 90.00
_cell_angle_gamma 90.00
loop_
_atom_site_label
_atom_site_type_symbol
_atom_site_fract_x
_atom_site_fract_y
_atom_site_fract_z
_atom_site_occupancy
Tb1 Tb 0.0000 0.0000 0.0000 1
Th1 Th 0.1690 0.1690 0.5000 1
Sc1 Sc 0.0000 0.3389 0.0000 1

=====

# Tb3Th2Sc3, optimized geometry, DFT PBE-GGA
# * ΔE_f: 0.0460 eV/atom
# * magnetization: 0.00 μB/cell
data_Tb3Th2Sc3
_chemical_formula_sum 'Tb6 Th4 Sc6'
_space_group_name_H-M_alt 'I m m m'
_space_group_IT_number 71
_space_group_name_Hall '-I 2 2'
_cell_length_a 4.8551
_cell_length_b 4.9154
_cell_length_c 19.6595
_cell_angle_alpha 90.00
_cell_angle_beta 90.00
_cell_angle_gamma 90.00
loop_
_atom_site_label
_atom_site_type_symbol
_atom_site_fract_x
_atom_site_fract_y
_atom_site_fract_z
_atom_site_occupancy
Tb1 Tb 0.0000 0.0000 0.0000 1
Tb2 Tb 0.0000 0.5000 0.1241 1
Th1 Th 0.0000 0.0000 0.2494 1
Sc1 Sc 0.0000 0.0000 0.5000 1
Sc2 Sc 0.0000 0.5000 0.3749 1

=====

# Tb6ThSc4, optimized geometry, DFT PBE-GGA
# * ΔE_f: 0.1328 eV/atom
# * magnetization: 0.00 μB/cell
data_Tb6ThSc4
_chemical_formula_sum 'Tb12 Th2 Sc8'
_space_group_name_H-M_alt 'P -1'
_space_group_IT_number 2
_space_group_name_Hall '-P 1'
_cell_length_a 5.4682
_cell_length_b 5.4702
_cell_length_c 24.9073
_cell_angle_alpha 90.14
_cell_angle_beta 90.14
_cell_angle_gamma 119.34
loop_
_atom_site_label
_atom_site_type_symbol
_atom_site_fract_x
_atom_site_fract_y
_atom_site_fract_z
_atom_site_occupancy
Tb1 Tb 0.0000 0.0000 0.0000 1
Tb2 Tb 0.0000 0.0000 0.5000 1
Tb3 Tb 0.0144 0.9845 0.2500 1
Tb4 Tb 0.3200 0.6750 0.5957 1
Tb5 Tb 0.3257 0.6807 0.9043 1
Tb6 Tb 0.3452 0.6503 0.1789 1
Tb7 Tb 0.3487 0.6539 0.3211 1
Th1 Th 0.3203 0.6805 0.7500 1
Sc1 Sc 0.0103 0.9823 0.1241 1
Sc2 Sc 0.0167 0.9887 0.3758 1
Sc3 Sc 0.3367 0.6609 0.0427 1
Sc4 Sc 0.3388 0.6630 0.4572 1

=====

# Tb3ThSc2, optimized geometry, DFT PBE-GGA
# * ΔE_f: 0.0541 eV/atom
# * magnetization: 0.00 μB/cell
data_Tb3ThSc2
_chemical_formula_sum 'Tb12 Th4 Sc8'
_space_group_name_H-M_alt 'C 1 2/m 1'
_space_group_IT_number 12
_space_group_name_Hall '-C 2y'
_cell_length_a 14.7119
_cell_length_b 4.9001
_cell_length_c 10.9305
_cell_angle_alpha 90.00
_cell_angle_beta 116.09
_cell_angle_gamma 90.00
loop_
_atom_site_label
_atom_site_type_symbol
_atom_site_fract_x
_atom_site_fract_y
_atom_site_fract_z
_atom_site_occupancy
Tb1 Tb 0.0407 0.0000 0.3748 1
Tb2 Tb 0.2071 0.5000 0.3716 1
Tb3 Tb 0.2091 0.0000 0.8730 1
Th1 Th 0.0393 0.5000 0.8761 1
Sc1 Sc 0.1205 0.0000 0.1207 1
Sc2 Sc 0.1246 0.5000 0.6256 1

=====

# Tb12Th7Sc, optimized geometry, DFT PBE-GGA
# * ΔE_f: 0.9803 eV/atom
# * magnetization: 0.02 μB/cell
data_Tb12Th7Sc
_chemical_formula_sum 'Tb24 Th14 Sc2'
_space_group_name_H-M_alt 'I m -3'
_space_group_IT_number 204
_space_group_name_Hall '-I 2 2 3'
_cell_length_a 11.5408
_cell_length_b 11.5408
_cell_length_c 11.5408
_cell_angle_alpha 90.00
_cell_angle_beta 90.00
_cell_angle_gamma 90.00
loop_
_atom_site_label
_atom_site_type_symbol
_atom_site_fract_x
_atom_site_fract_y
_atom_site_fract_z
_atom_site_occupancy
Tb1 Tb 0.0000 0.2512 0.2490 1
Th1 Th 0.0000 0.0000 0.5000 1
Th2 Th 0.2500 0.2500 0.2500 1
Sc1 Sc 0.0000 0.0000 0.0000 1

=====

# Tb5ThSc4, optimized geometry, DFT PBE-GGA
# * ΔE_f: 0.3607 eV/atom
# * magnetization: 0.00 μB/cell
data_Tb5ThSc4
_chemical_formula_sum 'Tb10 Th2 Sc8'
_space_group_name_H-M_alt 'I 4'
_space_group_IT_number 79
_space_group_name_Hall 'I 4'
_cell_length_a 9.7988
_cell_length_b 9.7988
_cell_length_c 6.2305
_cell_angle_alpha 90.00
_cell_angle_beta 90.00
_cell_angle_gamma 90.00
loop_
_atom_site_label
_atom_site_type_symbol
_atom_site_fract_x
_atom_site_fract_y
_atom_site_fract_z
_atom_site_occupancy
Tb1 Tb 0.0000 0.0000 0.0000 1
Tb2 Tb 0.1463 0.7530 0.2548 1
Th1 Th 0.0000 0.0000 0.5333 1
Sc1 Sc 0.0579 0.6430 0.7545 1